No. 1
The following is a DFT calculation (PBE) of a relaxed NdMgHg3 crystal.

Structure (extended XYZ):
```
10
Lattice="5.406 0.000 0.775 0.000 4.982 0.000 -1.395 -2.491 9.572" Properties=species:S:1:pos:R:3 pbc="T T T"
Hg 4.047 0.000 0.595
Mg 2.320 0.000 2.904
Hg -0.822 2.491 5.666
Mg 1.691 2.491 7.443
Nd -1.101 0.000 7.609
Hg -0.036 2.491 9.752
Hg 2.144 2.491 4.207
Nd 5.112 2.491 2.738
Hg 4.833 0.000 4.681
Hg 1.867 0.000 6.140
```

- space-group type = No. 12
- energy (eV/atom) = -1.682

No. 2
The following is a DFT calculation (PBE) of a relaxed Nd2Mg5Hg3 crystal.

Structure (extended XYZ):
```
20
Lattice="6.375 0.000 0.000 3.188 8.869 -0.696 3.188 0.681 8.870" Properties=species:S:1:pos:R:3 pbc="T T T"
Mg 7.969 4.775 4.087
Mg 3.188 0.811 6.586
Hg 4.782 0.000 0.000
Hg 6.375 4.835 6.493
Hg 3.188 2.388 4.399
Mg 11.157 7.185 6.150
Mg 6.375 6.632 -0.214
Nd 6.375 8.008 2.867
Mg 1.594 2.365 2.024
Hg 6.375 4.714 1.681
Mg 7.969 7.185 6.150
Hg 9.563 7.161 3.776
Nd 3.188 5.482 0.704
Nd 9.563 4.068 7.470
Mg 4.782 4.775 4.087
Mg 6.375 2.917 8.389
Hg 1.594 0.000 0.000
Mg 4.782 2.365 2.024
Nd 6.375 1.541 5.307
Mg 9.563 8.738 1.588
```

- space-group type = No. 72
- energy (eV/atom) = -2.083

No. 3
The following is a DFT calculation (PBE) of a relaxed PmNdMgHg crystal.

Structure (extended XYZ):
```
4
Lattice="5.434 0.000 0.000 2.717 4.706 0.000 2.717 1.569 4.436" Properties=species:S:1:pos:R:3 pbc="T T T"
Pm 8.150 4.706 3.327
Nd 2.717 1.569 1.109
Hg 5.434 3.137 2.218
Mg 0.000 0.000 0.000
```

- space-group type = No. 216
- excess energy over the best structure of this formula in the dataset (meV/atom) = 20.8
- energy (eV/atom) = -3.121

No. 4
The following is a DFT calculation (PBE) of a relaxed PmNdMgHg crystal.

Structure (extended XYZ):
```
4
Lattice="-1.530 3.210 1.511 0.077 -1.615 3.509 6.991 2.797 1.134" Properties=species:S:1:pos:R:3 pbc="T T T"
Nd 5.985 2.395 0.971
Pm 2.511 1.005 0.407
Hg 3.490 2.485 3.194
Mg 0.039 1.104 2.634
```

- space-group type = No. 99
- excess energy over the best structure of this formula in the dataset (meV/atom) = 0.0
- energy (eV/atom) = -3.141